Material: TbGd3Cl
Method: DFT, PBE-GGA
State: optimized geometry

Properties
Calculated volume (Å³ per cell): 152.8
Energy relative to the elements, uncorrected (eV/atom): -0.451
D(E_F) (states/eV/atom): 1.17

Cell and atoms, written as POSCAR:
```
TbGd3Cl
1.0
5.346 0.000 0.000
0.000 5.346 0.000
0.000 0.000 5.346
Tb Gd Cl
1 3 1
Cartesian
0.000 0.000 0.000
0.000 2.673 2.673
2.673 0.000 2.673
2.673 2.673 0.000
2.673 2.673 2.673
```